Entry 1:
The following is a PBE calculation of crystalline ZrAlPt at its relaxed geometry, from Alexandria via LeMat-Bulk.

Cell and atoms, written as POSCAR:
```
ZrAlPt
1.0
4.487 0.000 0.000
2.244 3.886 0.000
2.244 1.295 3.664
Al Pt Zr
1 1 1
Cartesian
0.000 0.000 0.000
4.487 2.591 1.832
6.731 3.886 2.748
```

The value obtained for the spin magnetization is 0.0 μB/f.u. Its raw total energy is -0.4648 Ry per atom. The value obtained for the formation energy is -0.21 eV per atom.


Entry 2:
The following is a PBE calculation of crystalline NdDy3Hg4 at its relaxed geometry, from Alexandria via LeMat-Bulk.

Cell and atoms, written as POSCAR:
```
NdDy3Hg4
1.0
-1.747 0.384 -4.961
-5.010 -5.550 1.335
-7.114 7.158 3.059
Nd Dy Hg
2 6 8
Cartesian
-6.062 0.804 2.197
-2.505 -2.775 0.668
0.000 0.000 0.000
-5.158 -0.793 -1.051
-8.713 2.785 0.485
-3.557 3.579 1.530
-6.208 5.560 -0.183
-2.653 1.982 -1.719
-5.632 2.440 -0.631
-10.890 1.533 -1.647
-5.588 -2.429 1.776
-2.981 0.459 1.081
-2.075 -1.139 -2.160
-8.239 -0.448 0.064
-8.283 4.421 -2.342
-4.682 -4.027 -1.465
```

The value obtained for the spin magnetization is 0.9 μB/f.u. Its raw total energy is -0.2166 Ry per atom. The value obtained for the formation energy is -0.47 eV per atom.


Entry 3:
The following is a PBE calculation of crystalline As3PH at its relaxed geometry, from Alexandria via LeMat-Bulk.

Cell and atoms, written as POSCAR:
```
As3PH
1.0
4.794 0.000 0.000
0.000 4.794 0.000
0.000 0.000 4.794
P As H
1 3 1
Cartesian
0.000 0.000 0.000
0.000 2.397 0.000
0.000 0.000 2.397
2.397 0.000 0.000
2.397 2.397 2.397
```

Its energy above the lowest structure with this stoichiometry is 388 meV per atom. The value obtained for the spin magnetization is 0.8 μB/f.u. Its raw total energy is -0.2476 Ry per atom.


Entry 4:
The following is a PBE calculation of crystalline ZrGa4Ni4 at its relaxed geometry, from Alexandria via LeMat-Bulk.

Cell and atoms, written as POSCAR:
```
ZrGa4Ni4
1.0
4.444 0.000 0.000
0.000 7.655 0.000
0.000 0.000 7.655
Ni Zr Ga
8 2 8
Cartesian
2.358 6.797 1.641
0.136 2.186 2.970
2.358 0.857 6.013
4.309 4.685 2.186
2.087 1.641 0.857
0.136 5.469 4.685
4.309 2.970 5.469
2.087 6.013 6.797
2.222 3.827 3.827
0.000 0.000 0.000
4.296 2.711 0.653
2.074 4.480 1.117
2.074 3.175 6.538
4.296 4.944 7.002
0.148 7.002 2.711
2.370 1.117 3.175
2.370 6.538 4.480
0.148 0.653 4.944
```

The value obtained for the spin magnetization is 0.0 μB/f.u. Its raw total energy is -0.3759 Ry per atom. The value obtained for the formation energy is -0.25 eV per atom.


Entry 5:
The following is a PBE calculation of crystalline Pm6TlSi2I3 at its relaxed geometry, from Alexandria via LeMat-Bulk.

Cell and atoms, written as POSCAR:
```
Pm6TlSi2I3
1.0
-2.104 -3.550 -1.214
4.897 -4.986 6.097
-6.978 4.862 5.500
Pm I Si Tl
6 3 2 1
Cartesian
0.943 -1.132 1.676
-1.146 -2.259 8.594
-2.994 -0.216 5.821
-5.129 -2.543 8.707
-1.192 -3.459 4.562
-3.040 -1.416 1.789
1.396 -4.268 2.442
1.431 -3.143 6.712
-5.616 -0.532 3.671
-3.156 -3.009 6.651
-1.029 -0.666 3.732
-1.052 -1.775 -0.607
```

The value obtained for the spin magnetization is 0.0 μB/f.u. Its raw total energy is -0.3445 Ry per atom. As for the uncorrected formation energy: -0.8229 eV per atom.


Entry 6:
The following is a PBE calculation of crystalline GdMgTl2 at its relaxed geometry, from Alexandria via LeMat-Bulk.

Cell and atoms, written as POSCAR:
```
GdMgTl2
1.0
-2.971 1.809 -1.064
0.738 -0.826 -3.465
-4.207 -6.521 0.659
Tl Gd Mg
2 1 1
Cartesian
-0.963 -1.493 0.151
-3.244 -5.028 0.508
-3.220 -2.769 -1.935
-1.116 0.491 -2.265
```

The value obtained for the spin magnetization is 7.6 μB/f.u. Its raw total energy is -0.3919 Ry per atom. The value obtained for the formation energy is -0.23 eV per atom.


Entry 7:
The following is a PBE calculation of crystalline SrTaBr2 at its relaxed geometry, from Alexandria via LeMat-Bulk.

Cell and atoms, written as POSCAR:
```
SrTaBr2
1.0
-2.375 4.116 0.299
-2.098 3.060 -2.984
-6.055 -2.061 0.152
Br Sr Ta
2 1 1
Cartesian
-4.687 6.976 -2.639
-5.050 2.757 -1.313
-7.896 3.836 -1.900
-2.632 1.279 -0.633
```

Its energy above the lowest structure with this stoichiometry is 231 meV per atom. The value obtained for the spin magnetization is 0.0 μB/f.u. Its raw total energy is -0.3177 Ry per atom. As for the uncorrected formation energy: -0.1018 eV per atom.


Entry 8:
The following is a PBE calculation of crystalline K3H2I3 at its relaxed geometry, from Alexandria via LeMat-Bulk.

Cell and atoms, written as POSCAR:
```
K3H2I3
1.0
0.027 -2.507 -4.336
4.111 -2.436 1.455
-5.677 -6.244 11.623
K I H
3 3 2
Cartesian
-3.654 -6.227 5.833
2.069 -2.472 -1.440
2.116 -4.960 2.909
0.000 0.000 0.000
-1.593 -6.149 8.681
0.054 -5.038 0.061
0.976 -6.965 4.941
-2.515 -4.222 3.801
```

Its energy above the lowest structure with this stoichiometry is 0 meV per atom. The value obtained for the spin magnetization is 0.0 μB/f.u. Its raw total energy is -0.2152 Ry per atom.


Calculated density, respectively: 8.142, 11.276, 3.870, 7.715, 6.603, 9.512, 7.408, 2.668 g/cm³.